Crystalline InCo2Hg at its relaxed geometry. Source: Alexandria via LeMat-Bulk, functional PBE-GGA.

Cell: 5.0257 5.0257 5.0257 Å, 134.32 134.32 66.58°
Sites, in units of the cell vectors:
1 In 0.0000 0.0000 0.0000
2 Co 0.2500 0.7500 0.5000
3 Co 0.5000 0.5000 0.0000
4 Hg 0.7500 0.2500 0.5000

Output
- Calculated total energy: -0.1430 Ha/atom
- SG: I-4m2 (119)
- Total magnetic moment: 2.8 Bohr magnetons per cell
- DOS(E_F): 5.68 states/eV/cell